Density functional theory data (PBE-GGA) for an optimized crystal structure of Tb2Y2HoTm.

```
12
Lattice="6.995 0.000 0.000 0.000 5.604 0.000 0.000 0.000 9.651" Properties=species:S:1:pos:R:3 pbc="T T T"
Tb 1.749 0.000 1.466
Tb 1.749 2.802 6.575
Tb 5.247 0.000 8.185
Tb 5.247 2.802 3.076
Y 0.000 0.000 4.825
Y 1.749 2.802 3.313
Y 3.498 0.000 4.825
Y 5.247 2.802 6.338
Ho 1.749 0.000 7.932
Ho 5.247 0.000 1.718
Tm 0.000 2.802 0.000
Tm 3.498 2.802 0.000
```

## Properties
M_tot = 0.00 μB per formula unit
Formation enthalpy at 0 K = 0.06 eV/atom
Fermi-level density of states = 1.8063 states/eV/atom
Density = 7.3 g/cm³



Density functional theory data (PBE-GGA) for an optimized crystal structure of TbY3HoTm.

```
12
Lattice="2.508 -7.531 0.000 2.508 7.531 0.000 0.000 0.000 10.025" Properties=species:S:1:pos:R:3 pbc="T T T"
Tb 0.000 0.000 0.000
Tb 0.000 0.000 5.013
Y 2.508 5.023 7.519
Y 2.508 2.503 10.021
Y 2.508 2.503 5.016
Y 2.508 -2.503 0.004
Y 2.508 -2.503 5.009
Y 2.508 -5.023 2.506
Ho 2.508 0.013 7.519
Ho 2.508 -0.013 2.506
Tm 2.508 5.034 2.506
Tm 2.508 -5.034 7.519
```

## Properties
M_tot = 0.00 μB per formula unit
Formation enthalpy at 0 K = 0.02 eV/atom
Fermi-level density of states = 1.3812 states/eV/atom
Density = 6.7 g/cm³



Density functional theory data (PBE-GGA) for an optimized crystal structure of TbYHo5Tm2.

```
18
Lattice="2.780 -9.896 0.000 2.780 9.896 0.000 0.000 0.000 10.476" Properties=species:S:1:pos:R:3 pbc="T T T"
Tb 2.780 5.948 5.238
Tb 2.780 -5.948 0.000
Y 2.780 1.723 9.864
Y 2.780 -1.723 4.626
Ho 2.780 9.554 5.369
Ho 2.780 4.349 8.348
Ho 2.780 3.953 2.060
Ho 2.780 2.166 5.364
Ho 2.780 0.428 2.368
Ho 2.780 -0.428 7.606
Ho 2.780 -2.166 0.126
Ho 2.780 -3.953 7.298
Ho 2.780 -4.349 3.110
Ho 2.780 -9.554 0.130
Tm 2.780 7.718 2.364
Tm 2.780 7.660 8.435
Tm 2.780 -7.660 3.197
Tm 2.780 -7.718 7.602
```

## Properties
M_tot = 0.00 μB per formula unit
Formation enthalpy at 0 K = 0.17 eV/atom
Fermi-level density of states = 1.6501 states/eV/atom
Density = 8.1 g/cm³



- Which value of density does entry 3 give?
  8.1 g/cm³